DFT (PBE) results for crystalline CeSc3B4O12 at its relaxed geometry.

Values from the calculation:
total DFT energy (no corrections) = -8.57 eV per atom
uncorrected formation energy = -3016.3 meV/atom
D(E_F) = 9.1 states/eV per cell
V = 227 Å³ per cell

Cell and atoms, written as POSCAR:
```
CeSc3B4O12
1.0
4.944 2.855 2.679
-4.944 2.855 2.679
0.000 -5.709 2.679
Ce Sc B O
1 3 4 12
Cartesian
0.000 0.000 0.000
-2.708 -1.019 2.679
2.236 -1.836 2.679
0.471 2.855 2.679
-2.229 -3.860 4.019
0.000 0.000 4.019
-2.229 3.860 4.019
4.457 0.000 4.019
-2.953 -2.688 3.904
-4.044 0.000 4.019
-0.851 -3.901 4.133
-1.388 0.000 4.019
-2.953 2.688 4.133
2.022 -3.502 4.019
0.694 -1.202 4.019
-0.851 3.901 3.904
0.694 1.202 4.019
3.804 -1.213 3.904
2.022 3.502 4.019
3.804 1.213 4.133
```

DFT (PBE) results for crystalline SrCe3B4O12 at its relaxed geometry.

Values from the calculation:
total DFT energy (no corrections) = -8.25 eV per atom
uncorrected formation energy = -2963.1 meV/atom
D(E_F) = 10.7 states/eV per cell
V = 281 Å³ per cell

Cell and atoms, written as POSCAR:
```
SrCe3B4O12
1.0
5.208 3.007 2.992
-5.208 3.007 2.992
0.000 -6.013 2.992
Sr Ce B O
1 3 4 12
Cartesian
0.000 0.000 0.000
-2.766 -1.222 2.992
2.441 -1.785 2.992
0.325 3.007 2.992
-2.420 -4.192 4.488
0.000 0.000 4.488
-2.420 4.192 4.488
4.840 0.000 4.488
-3.132 -3.010 4.376
-4.177 0.000 4.488
-1.041 -4.218 4.601
-1.384 0.000 4.488
-3.132 3.010 4.601
2.088 -3.617 4.488
0.692 -1.198 4.488
-1.041 4.218 4.376
0.692 1.198 4.488
4.173 -1.207 4.376
2.088 3.617 4.488
4.173 1.207 4.601
```

Which formula does entry 2 have?
SrCe3B4O12

Which value of V does entry 1 give?
227 Å³ per cell

Which of these has the lowest total DFT energy (no corrections)?
CeSc3B4O12